# 1
Ce4SnO10 PBE relaxed; total magnetic moment = 0.0 μB/f.u.; ΔE_f (raw) = -3.019 eV per atom; energy relative to the lowest polymorph listed for this composition = 0.0 meV/atom
1.0
1.913 1.104 15.612
-1.913 1.104 15.612
0.000 -2.209 15.612
Ce Sn O
4 1 10
Cartesian
0.000 0.000 4.791
0.000 0.000 14.016
0.000 0.000 32.819
0.000 0.000 42.044
0.000 0.000 23.418
0.000 0.000 2.394
0.000 0.000 7.154
0.000 0.000 11.616
0.000 0.000 16.406
0.000 0.000 21.247
0.000 0.000 25.588
0.000 0.000 30.429
0.000 0.000 35.219
0.000 0.000 39.681
0.000 0.000 44.441

***

# 2
ScTe2Pb PBE relaxed; total magnetic moment = 0.5 μB/f.u.; ΔE_f (raw) = -0.045 eV per atom
1.0
0.000 3.825 3.825
3.825 0.000 3.825
3.825 3.825 0.000
Sc Te Pb
1 2 1
Cartesian
0.000 0.000 0.000
1.913 1.913 1.913
3.825 3.825 3.825
5.738 5.738 5.738

***

# 3
Zn2PtW PBE relaxed; energy relative to the elements = -10 kJ/mol of formula units; total magnetic moment = 0.0 μB/f.u.; energy relative to the lowest polymorph listed for this composition = 86.2 meV/atom
1.0
2.761 0.000 0.000
0.000 3.924 0.000
0.000 0.000 5.575
Zn Pt W
2 1 1
Cartesian
0.000 0.000 0.000
1.380 1.962 1.275
0.000 0.000 2.780
1.380 1.962 4.083

***

# 4
Cs3RbHg3 PBE relaxed; energy relative to the elements = -10 kJ/mol of formula units; total magnetic moment = 1.0 μB/f.u.; energy relative to the lowest polymorph listed for this composition = 155.7 meV/atom
1.0
10.456 0.000 0.000
0.000 10.456 0.000
0.000 0.000 10.456
Cs Rb Hg
6 2 6
Cartesian
0.000 2.614 5.228
0.000 7.842 5.228
2.614 5.228 0.000
5.228 0.000 2.614
5.228 0.000 7.842
7.842 5.228 0.000
0.000 0.000 0.000
5.228 5.228 5.228
0.000 5.228 2.614
0.000 5.228 7.842
2.614 0.000 5.228
5.228 2.614 0.000
5.228 7.842 0.000
7.842 0.000 5.228

***

# 5
Li2YMgCd4 PBE relaxed; energy relative to the elements = -164 kJ/mol of formula units; total magnetic moment = 0.0 μB/f.u.
1.0
2.403 1.388 8.737
-2.403 1.388 8.737
0.000 -2.775 8.737
Li Y Mg Cd
2 1 1 4
Cartesian
0.000 0.000 6.379
0.000 0.000 19.830
0.000 0.000 0.000
0.000 0.000 13.105
0.000 0.000 3.233
0.000 0.000 10.178
0.000 0.000 16.032
0.000 0.000 22.976